[1]
A plane-wave DFT calculation with GGA-PBE was carried out for a geometry-optimized NdThAl4 structure.

Cell: 4.3292 4.3292 8.2433 Å, 105.22 105.22 90.00°
Last column: nearest neighbours and their distance in Å.
Atoms (fractional coordinates):
Nd: 0.2500 0.7500 0.5000  12 Al 3.31-3.36
Th: 0.0000 0.0000 0.0000  12 Al 3.31-3.35
Al: 0.6671 0.1671 0.3343  3 Al 2.52-2.54
Al: 0.5823 0.5823 0.1645  3 Al 2.52
Al: 0.8329 0.3329 0.6657  3 Al 2.52-2.54
Al: 0.4177 0.4177 0.8355  3 Al 2.52

Its space group is I-4m2, No. 119. As for the calculated volume: 143 Å³ per cell. Its electronic total energy is -4.972 eV/atom. The mass density comes out at 5.6 g/cm3. The excess energy over the best structure of this formula in the dataset comes out at 0.006 eV/atom. The value obtained for the formation enthalpy at 0 K is -0.45 eV/atom.

---

[2]
A plane-wave DFT calculation with GGA-PBE was carried out for a geometry-optimized KBaBr3 structure.

Cell: 6.2134 7.0294 9.5135 Å, 90.00 90.01 90.00°
Last column: nearest neighbours and their distance in Å.
Atoms (fractional coordinates):
K: 0.1264 0.7515 0.8669  7 Br 3.40-3.80
K: 0.1264 0.2516 0.5957  7 Br 3.40-3.80
Ba: 0.6264 0.7516 0.4457  5 Br 3.17-3.25
Ba: 0.6264 0.2515 0.0169  5 Br 3.17-3.25
Br: 0.6263 0.7515 0.1039  3 Ba 3.25-3.61
Br: 0.1264 0.7516 0.5099  2 Ba 3.17, 1 K 3.40
Br: 0.6264 0.2516 0.3588  3 Ba 3.25-3.61
Br: 0.6264 0.5016 0.7313  2 Ba 3.24, 2 Br 3.51
Br: 0.1264 0.2515 0.9528  2 Ba 3.17, 1 K 3.40
Br: 0.6264 0.0016 0.7313  2 Ba 3.24, 2 Br 3.51

Its space group is Pmma, No. 51. As for the calculated volume: 416 Å³ per cell. Its electronic total energy is -3.549 eV/atom. The mass density comes out at 3.3 g/cm3. For the uncorrected formation energy, the calculation gives -1.9409 eV per atom.

---

[3]
A plane-wave DFT calculation with GGA-PBE was carried out for a geometry-optimized SnGe2P structure.

Cell: 4.8411 4.8411 4.8411 Å, 60.00 60.00 60.00°
Last column: nearest neighbours and their distance in Å.
Atoms (fractional coordinates):
P: 0.0000 0.0000 0.0000  8 Ge 2.96
Ge: 0.2500 0.2500 0.2500  4 Sn 2.96, 4 P 2.96
Ge: 0.7500 0.7500 0.7500  4 Sn 2.96, 4 P 2.96
Sn: 0.5000 0.5000 0.5000  8 Ge 2.96

Its space group is Fm-3m, No. 225. As for the calculated volume: 80 Å³ per cell. Its electronic total energy is -4.240 eV/atom. The mass density comes out at 6.1 g/cm3. The excess energy over the best structure of this formula in the dataset comes out at 0.247 eV/atom. The value obtained for the formation enthalpy at 0 K is 0.42 eV/atom.

---

[4]
A plane-wave DFT calculation with GGA-PBE was carried out for a geometry-optimized TlCd2Au structure.

Cell: 3.1761 4.0940 7.2383 Å, 90.00 90.00 90.00°
Last column: nearest neighbours and their distance in Å.
Atoms (fractional coordinates):
Tl: 0.0000 0.0000 0.5160  2 Tl 3.18, 4 Au 3.24, 5 Cd 3.33-3.35
Au: 0.5000 0.5000 0.7844  5 Cd 2.94-3.18, 2 Au 3.18, 4 Tl 3.24
Cd: 0.0000 0.0000 0.9761  4 Au 2.94, 6 Cd 3.15-3.18
Cd: 0.5000 0.5000 0.2235  6 Cd 3.15-3.18, 1 Au 3.18, 4 Tl 3.35

Its space group is Pmm2, No. 25. As for the calculated volume: 94 Å³ per cell. Its electronic total energy is -1.879 eV/atom. The mass density comes out at 11.0 g/cm3. The excess energy over the best structure of this formula in the dataset comes out at 0.081 eV/atom. The value obtained for the formation enthalpy at 0 K is -0.01 eV/atom.

---

[5]
A plane-wave DFT calculation with GGA-PBE was carried out for a geometry-optimized K3Ca2H7 structure.

Cell: 4.2907 4.4744 11.7639 Å, 100.96 90.00 90.00°
Last column: nearest neighbours and their distance in Å.
Atoms (fractional coordinates):
K: 0.5000 0.5000 0.0000  12 H 3.08-3.17
K: 0.5000 0.6870 0.3739  8 H 3.01-3.11
K: 0.5000 0.3130 0.6261  8 H 3.01-3.11
Ca: 0.0000 0.9025 0.8049  6 H 2.15-2.28
Ca: 0.0000 0.0975 0.1951  6 H 2.15-2.28
H: 0.0000 0.4042 0.8085  2 Ca 2.24
H: 0.0000 0.8038 0.6077  1 Ca 2.28
H: 0.0000 0.0000 0.0000  2 Ca 2.25
H: 0.0000 0.5958 0.1915  2 Ca 2.24
H: 0.5000 0.0975 0.1950  2 Ca 2.15
H: 0.5000 0.9025 0.8050  2 Ca 2.15
H: 0.0000 0.1962 0.3923  1 Ca 2.28

Its space group is Cmmm, No. 65. As for the calculated volume: 222 Å³ per cell. Its electronic total energy is -2.894 eV/atom. The mass density comes out at 1.5 g/cm3.

---

[6]
A plane-wave DFT calculation with GGA-PBE was carried out for a geometry-optimized TiCo structure.

Cell: 4.8544 4.8544 4.7797 Å, 90.00 90.00 90.00°
Last column: nearest neighbours and their distance in Å.
Atoms (fractional coordinates):
Ti: 0.2098 0.7902 0.0000  6 Co 2.39-2.52
Ti: 0.7098 0.7098 0.5000  6 Co 2.39-2.52
Ti: 0.2902 0.2902 0.5000  6 Co 2.39-2.52
Ti: 0.7902 0.2098 0.0000  6 Co 2.39-2.52
Co: 0.3020 0.3020 0.0000  6 Ti 2.39-2.52
Co: 0.8020 0.1980 0.5000  6 Ti 2.39-2.52
Co: 0.1980 0.8020 0.5000  6 Ti 2.39-2.52
Co: 0.6980 0.6980 0.0000  6 Ti 2.39-2.52

Its space group is P4_2/mnm, No. 136. As for the calculated volume: 113 Å³ per cell. Its electronic total energy is -7.489 eV/atom. The mass density comes out at 6.3 g/cm3. The value obtained for the formation enthalpy at 0 K is 0.01 eV/atom.